# 1
A relaxed Pr7Pb2N2 crystal. Source: Alexandria, functional GGA-PBE. Values from VASP.

Quantum ESPRESSO input file:
```
&SYSTEM
  ibrav = 0, nat = 11, ntyp = 3
/
ATOMIC_SPECIES
Pr 140.91 Pr.upf
Pb 207.20 Pb.upf
N 14.01 N.upf
CELL_PARAMETERS angstrom
-4.063 3.891 -4.190
-0.936 -4.987 -4.655
-3.653 -3.235 5.039
ATOMIC_POSITIONS crystal
Pr 0.059 0.225 0.506
Pr 0.506 0.775 0.059
Pr 0.941 0.775 0.494
Pr 0.494 0.225 0.941
Pr 0.000 0.000 0.000
Pr 0.433 0.801 0.567
Pr 0.567 0.199 0.433
Pb 0.810 0.500 0.810
Pb 0.190 0.500 0.190
N 0.774 0.026 0.226
N 0.226 0.974 0.774
```

Theoretical density   7.6 Mg/m³
Uncorrected formation energy   -0.51 eV per atom
Magnetic moment   0.0 μB per cell

=====

# 2
A relaxed Pr7Pb4N crystal. Source: Alexandria, functional GGA-PBE. Values from VASP.

Quantum ESPRESSO input file:
```
&SYSTEM
  ibrav = 0, nat = 12, ntyp = 3
/
ATOMIC_SPECIES
Pr 140.91 Pr.upf
Pb 207.20 Pb.upf
N 14.01 N.upf
CELL_PARAMETERS angstrom
5.277 0.000 0.000
2.639 9.305 0.450
2.639 0.992 8.417
ATOMIC_POSITIONS crystal
Pr 0.785 0.864 0.567
Pr 0.215 0.136 0.433
Pr 0.064 0.760 0.111
Pr 0.936 0.240 0.889
Pr 0.362 0.540 0.736
Pr 0.500 0.000 0.000
Pr 0.638 0.460 0.264
Pb 0.579 0.220 0.622
Pb 0.421 0.780 0.378
Pb 0.722 0.657 0.900
Pb 0.278 0.343 0.100
N 0.000 0.000 0.000
```

Theoretical density   7.4 Mg/m³
Uncorrected formation energy   -0.46 eV per atom
Magnetic moment   0.0 μB per cell

=====

# 3
A relaxed Pr4PbN crystal. Source: Alexandria, functional GGA-PBE. Values from VASP.

Quantum ESPRESSO input file:
```
&SYSTEM
  ibrav = 0, nat = 12, ntyp = 3
/
ATOMIC_SPECIES
Pr 140.91 Pr.upf
Pb 207.20 Pb.upf
N 14.01 N.upf
CELL_PARAMETERS angstrom
-1.753 1.908 4.368
-1.316 -6.505 2.314
11.556 -3.323 -2.773
ATOMIC_POSITIONS crystal
Pr 0.452 0.495 0.635
Pr 0.548 0.995 0.365
Pr 0.452 0.005 0.635
Pr 0.548 0.505 0.365
Pr 0.000 0.500 0.000
Pr 0.000 0.000 0.000
Pr 0.229 0.750 0.820
Pr 0.771 0.250 0.180
Pb 0.784 0.750 0.189
Pb 0.216 0.250 0.811
N 0.703 0.750 0.802
N 0.297 0.250 0.198
```

Theoretical density   7.5 Mg/m³
Uncorrected formation energy   -0.61 eV per atom
Magnetic moment   0.0 μB per cell

=====

# 4
A relaxed Pr2PbN crystal. Source: Alexandria, functional GGA-PBE. Values from VASP.

Quantum ESPRESSO input file:
```
&SYSTEM
  ibrav = 0, nat = 4, ntyp = 3
/
ATOMIC_SPECIES
Pb 207.20 Pb.upf
Pr 140.91 Pr.upf
N 14.01 N.upf
CELL_PARAMETERS angstrom
3.295 0.000 0.000
0.000 3.295 0.000
0.000 0.000 8.268
ATOMIC_POSITIONS crystal
Pb 0.500 0.500 0.500
Pr 0.000 0.000 0.818
Pr 0.000 0.000 0.182
N 0.500 0.500 0.000
```

Theoretical density   9.3 Mg/m³
Uncorrected formation energy   -0.47 eV per atom
Magnetic moment   0.0 μB per cell

=====

# 5
A relaxed Pr12Pb3N5 crystal. Source: Alexandria, functional GGA-PBE. Values from VASP.

Quantum ESPRESSO input file:
```
&SYSTEM
  ibrav = 0, nat = 80, ntyp = 3
/
ATOMIC_SPECIES
Pb 207.20 Pb.upf
N 14.01 N.upf
Pr 140.91 Pr.upf
CELL_PARAMETERS angstrom
-0.988 -12.246 7.236
13.737 3.152 -2.155
-6.157 10.455 7.488
ATOMIC_POSITIONS crystal
Pb 0.750 0.375 0.125
Pb 0.875 0.750 0.125
Pb 0.375 0.750 0.625
Pb 0.250 0.125 0.375
Pb 0.875 0.125 0.250
Pb 0.375 0.625 0.250
Pb 0.625 0.375 0.750
Pb 0.125 0.875 0.750
Pb 0.750 0.875 0.625
Pb 0.625 0.250 0.375
Pb 0.125 0.250 0.875
Pb 0.250 0.625 0.875
N 0.125 0.375 0.250
N 0.000 0.500 0.000
N 0.000 0.000 0.000
N 0.375 0.250 0.125
N 0.500 0.000 0.500
N 0.500 0.500 0.000
N 0.125 0.750 0.375
N 0.750 0.125 0.875
N 0.750 0.625 0.375
N 0.375 0.125 0.750
N 0.625 0.875 0.250
N 0.500 0.500 0.500
N 0.500 0.000 0.000
N 0.000 0.000 0.500
N 0.250 0.375 0.625
N 0.250 0.875 0.125
N 0.000 0.500 0.500
N 0.875 0.250 0.625
N 0.625 0.750 0.875
N 0.875 0.625 0.750
Pr 0.696 0.109 0.011
Pr 0.315 0.511 0.402
Pr 0.989 0.391 0.304
Pr 0.511 0.196 0.109
Pr 0.587 0.696 0.685
Pr 0.989 0.598 0.185
Pr 0.315 0.804 0.413
Pr 0.098 0.913 0.109
Pr 0.598 0.989 0.685
Pr 0.696 0.587 0.185
Pr 0.804 0.489 0.391
Pr 0.815 0.902 0.011
Pr 0.109 0.696 0.511
Pr 0.391 0.402 0.087
Pr 0.087 0.902 0.391
Pr 0.413 0.109 0.598
Pr 0.087 0.185 0.196
Pr 0.489 0.685 0.098
Pr 0.815 0.913 0.304
Pr 0.109 0.413 0.098
Pr 0.391 0.989 0.804
Pr 0.598 0.609 0.413
Pr 0.902 0.815 0.511
Pr 0.804 0.315 0.913
Pr 0.402 0.391 0.587
Pr 0.098 0.185 0.489
Pr 0.196 0.685 0.087
Pr 0.185 0.087 0.696
Pr 0.609 0.011 0.196
Pr 0.891 0.587 0.902
Pr 0.511 0.315 0.902
Pr 0.587 0.891 0.402
Pr 0.913 0.815 0.804
Pr 0.913 0.098 0.609
Pr 0.891 0.304 0.489
Pr 0.185 0.098 0.989
Pr 0.609 0.598 0.913
Pr 0.402 0.011 0.315
Pr 0.304 0.413 0.815
Pr 0.196 0.511 0.609
Pr 0.902 0.087 0.891
Pr 0.685 0.196 0.587
Pr 0.489 0.804 0.891
Pr 0.011 0.402 0.815
Pr 0.413 0.304 0.315
Pr 0.011 0.609 0.696
Pr 0.685 0.489 0.598
Pr 0.304 0.891 0.989
```

Theoretical density   7.1 Mg/m³
Uncorrected formation energy   -0.76 eV per atom
Magnetic moment   0.0 μB per cell

=====

# 6
A relaxed Pr6Pb3N2 crystal. Source: Alexandria, functional GGA-PBE. Values from VASP.

Quantum ESPRESSO input file:
```
&SYSTEM
  ibrav = 0, nat = 11, ntyp = 3
/
ATOMIC_SPECIES
Pr 140.91 Pr.upf
Pb 207.20 Pb.upf
N 14.01 N.upf
CELL_PARAMETERS angstrom
4.949 0.000 0.000
0.000 4.949 0.000
-2.475 -2.475 13.246
ATOMIC_POSITIONS crystal
Pr 0.084 0.584 0.168
Pr 0.584 0.084 0.168
Pr 0.916 0.416 0.832
Pr 0.416 0.916 0.832
Pr 0.693 0.693 0.385
Pr 0.307 0.307 0.615
Pb 0.000 0.000 0.000
Pb 0.822 0.822 0.644
Pb 0.178 0.178 0.356
N 0.396 0.396 0.792
N 0.604 0.604 0.208
```

Theoretical density   7.7 Mg/m³
Uncorrected formation energy   -0.81 eV per atom
Magnetic moment   0.0 μB per cell

=====

# 7
A relaxed Pr3Pb2N crystal. Source: Alexandria, functional GGA-PBE. Values from VASP.

Quantum ESPRESSO input file:
```
&SYSTEM
  ibrav = 0, nat = 6, ntyp = 3
/
ATOMIC_SPECIES
Pr 140.91 Pr.upf
Pb 207.20 Pb.upf
N 14.01 N.upf
CELL_PARAMETERS angstrom
-2.949 -1.076 1.779
-0.343 -5.074 -3.638
5.971 -0.715 5.808
ATOMIC_POSITIONS crystal
Pr 0.387 0.387 0.774
Pr 0.000 0.000 0.000
Pr 0.613 0.613 0.226
Pb 0.690 0.190 0.380
Pb 0.310 0.810 0.620
N 0.000 0.500 0.000
```

Theoretical density   8.3 Mg/m³
Uncorrected formation energy   -0.61 eV per atom
Magnetic moment   0.0 μB per cell

=====

# 8
A relaxed Pr2PbN crystal. Source: Alexandria, functional GGA-PBE. Values from VASP.

Quantum ESPRESSO input file:
```
&SYSTEM
  ibrav = 0, nat = 4, ntyp = 3
/
ATOMIC_SPECIES
Pr 140.91 Pr.upf
Pb 207.20 Pb.upf
N 14.01 N.upf
CELL_PARAMETERS angstrom
3.731 0.000 0.000
1.865 3.231 0.000
1.865 1.077 8.268
ATOMIC_POSITIONS crystal
Pr 0.277 0.277 0.170
Pr 0.723 0.723 0.830
Pb 0.500 0.500 0.500
N 0.000 0.000 0.000
```

Theoretical density   8.4 Mg/m³
Uncorrected formation energy   -0.93 eV per atom
Magnetic moment   0.0 μB per cell

=====

# 9
A relaxed Pr3PbSN crystal. Source: Alexandria, functional GGA-PBE. Values from VASP.

Quantum ESPRESSO input file:
```
&SYSTEM
  ibrav = 0, nat = 12, ntyp = 4
/
ATOMIC_SPECIES
Pr 140.91 Pr.upf
Pb 207.20 Pb.upf
S 32.06 S.upf
N 14.01 N.upf
CELL_PARAMETERS angstrom
-1.576 1.056 3.726
7.202 -3.632 4.076
2.508 9.161 -1.536
ATOMIC_POSITIONS crystal
Pr 0.250 0.837 0.480
Pr 0.750 0.891 0.153
Pr 0.750 0.439 0.161
Pr 0.750 0.163 0.520
Pr 0.250 0.561 0.839
Pr 0.250 0.109 0.847
Pb 0.750 0.808 0.777
Pb 0.250 0.192 0.223
S 0.250 0.656 0.144
S 0.750 0.344 0.856
N 0.250 0.093 0.607
N 0.750 0.907 0.393
```

Theoretical density   6.4 Mg/m³
Uncorrected formation energy   -1.20 eV per atom
Magnetic moment   0.0 μB per cell

=====

# 10
A relaxed Pr8Pb4S3N crystal. Source: Alexandria, functional GGA-PBE. Values from VASP.

Quantum ESPRESSO input file:
```
&SYSTEM
  ibrav = 0, nat = 16, ntyp = 4
/
ATOMIC_SPECIES
Pr 140.91 Pr.upf
Pb 207.20 Pb.upf
S 32.06 S.upf
N 14.01 N.upf
CELL_PARAMETERS angstrom
8.032 0.000 0.000
0.000 9.281 0.916
-4.016 -4.006 5.671
ATOMIC_POSITIONS crystal
Pr 0.217 0.687 0.969
Pr 0.217 0.687 0.433
Pr 0.266 0.298 0.532
Pr 0.752 0.687 0.969
Pr 0.248 0.313 0.031
Pr 0.734 0.702 0.468
Pr 0.783 0.313 0.567
Pr 0.783 0.313 0.031
Pb 0.500 0.000 0.000
Pb 0.500 0.000 0.500
Pb 0.000 0.000 0.000
Pb 0.000 0.000 0.500
S 0.500 0.500 0.000
S 0.500 0.500 0.500
S 0.000 0.500 0.500
N 0.000 0.500 0.000
```

Theoretical density   7.6 Mg/m³
Uncorrected formation energy   -1.13 eV per atom
Magnetic moment   0.0 μB per cell

=====

# 11
A relaxed Pr4PbS2N crystal. Source: Alexandria, functional GGA-PBE. Values from VASP.

Quantum ESPRESSO input file:
```
&SYSTEM
  ibrav = 0, nat = 8, ntyp = 4
/
ATOMIC_SPECIES
Pr 140.91 Pr.upf
Pb 207.20 Pb.upf
S 32.06 S.upf
N 14.01 N.upf
CELL_PARAMETERS angstrom
7.449 0.000 0.000
3.724 5.552 0.051
3.724 0.506 5.529
ATOMIC_POSITIONS crystal
Pr 0.478 0.151 0.522
Pr 0.151 0.849 0.478
Pr 0.849 0.522 0.151
Pr 0.522 0.478 0.849
Pb 0.000 0.000 0.000
S 0.250 0.250 0.250
S 0.750 0.750 0.750
N 0.500 0.500 0.500
```

Theoretical density   6.2 Mg/m³
Uncorrected formation energy   -1.26 eV per atom
Magnetic moment   0.0 μB per cell

=====

# 12
A relaxed Pr3PbSeN crystal. Source: Alexandria, functional GGA-PBE. Values from VASP.

Quantum ESPRESSO input file:
```
&SYSTEM
  ibrav = 0, nat = 12, ntyp = 4
/
ATOMIC_SPECIES
Pr 140.91 Pr.upf
Pb 207.20 Pb.upf
Se 78.96 Se.upf
N 14.01 N.upf
CELL_PARAMETERS angstrom
4.213 0.000 0.000
0.000 9.300 0.785
0.000 -2.754 9.235
ATOMIC_POSITIONS crystal
Pr 0.250 0.844 0.487
Pr 0.750 0.893 0.158
Pr 0.750 0.421 0.161
Pr 0.750 0.156 0.513
Pr 0.250 0.579 0.839
Pr 0.250 0.107 0.842
Pb 0.750 0.821 0.787
Pb 0.250 0.179 0.213
Se 0.250 0.650 0.155
Se 0.750 0.350 0.845
N 0.250 0.088 0.603
N 0.750 0.912 0.397
```

Theoretical density   6.5 Mg/m³
Uncorrected formation energy   -1.16 eV per atom
Magnetic moment   0.0 μB per cell

=====

no.,density of states at the Fermi level (states/eV/cell)
1,10.18
2,7.04
3,9.40
4,2.38
5,52.32
6,1.86
7,5.80
8,1.17
9,3.33
10,8.35
11,4.73
12,3.43